[1]
A geometry-optimized Zn3AsO3 structure, computed with PBE.

Calculated values
DOS(E_F)	1.4	states/eV/f.u.
E_form (uncorrected)	-719	meV per atom
density	5.48	g/cm³
electronic total energy	-56.75	eV per cell
total magnetization	2.89	μB per formula unit

Unit cell a=5.781 b=5.781 c=5.781 alpha=90.00 beta=90.00 gamma=90.00
Space group Pm-3n (No. 223)
One atom of each set of equivalent atoms:
Zn  0.000  0.250  0.500
As  0.000  0.000  0.000
O  0.000  0.500  0.250


[2]
A geometry-optimized Zn6AsO6 structure, computed with PBE.

Calculated values
DOS(E_F)	1.1	states/eV/f.u.
E_form (uncorrected)	-1019	meV per atom
density	4.97	g/cm³
electronic total energy	-55.29	eV per cell
total magnetization	2.94	μB per formula unit

Unit cell a=5.730 b=5.730 c=5.730 alpha=90.00 beta=90.00 gamma=90.00
Space group Pm-3 (No. 200)
One atom of each set of equivalent atoms:
Zn  0.000  0.248  0.500
As  0.000  0.000  0.000
O  0.000  0.500  0.254


[3]
A geometry-optimized Zr4AsO structure, computed with PBE.

Calculated values
DOS(E_F)	4.1	states/eV/f.u.
E_form (uncorrected)	-1093	meV per atom
density	6.77	g/cm³
electronic total energy	-201.42	eV per cell
total magnetization	0.00	μB per formula unit

Unit cell a=13.290 b=5.494 c=6.370 alpha=90.00 beta=106.06 gamma=90.00
Space group C2/c (No. 15)
One atom of each set of equivalent atoms:
Zr  0.096  0.094  0.458
Zr  0.186  0.417  0.154
As  0.000  0.359  0.750
O  0.250  0.250  0.500


[4]
A geometry-optimized ZrAsO structure, computed with PBE.

Calculated values
DOS(E_F)	2.3	states/eV/f.u.
E_form (uncorrected)	-1350	meV per atom
density	4.61	g/cm³
electronic total energy	-88.82	eV per cell
total magnetization	0.00	μB per formula unit

Unit cell a=9.492 b=5.262 c=5.249 alpha=90.00 beta=90.00 gamma=90.00
Space group Pnma (No. 62)
One atom of each set of equivalent atoms:
Zr  0.077  0.250  0.236
As  0.167  0.750  0.465
O  0.000  0.000  0.000